AlTe2PtI | PBE-GGA | optimized geometry

Results
Fermi-level density of states   6.907 states/eV/f.u.
Space group   No. 123

Cell lengths 5.331, 5.331, 5.612 Å; angles 90.00, 90.00, 90.00 degrees
Fractional coordinates of all 5 atoms:
Al 0.000 0.000 0.000
Te 0.000 0.500 0.500
Te 0.500 0.000 0.500
Pt 0.500 0.500 0.500
I 0.500 0.500 0.000


PuAlI | PBE-GGA | optimized geometry

Results
Fermi-level density of states   10.210 states/eV/f.u.
Space group   No. 63

Cell lengths 11.350, 11.350, 4.325 Å; angles 90.00, 90.00, 161.34 degrees
Fractional coordinates of all 6 atoms:
Pu 0.094 0.906 0.750
Pu 0.906 0.094 0.250
Al 0.472 0.528 0.750
Al 0.528 0.472 0.250
I 0.327 0.673 0.750
I 0.673 0.327 0.250


PuAl2I8 | PBE-GGA | optimized geometry

Results
Fermi-level density of states   19.248 states/eV/f.u.
Space group   No. 15

Cell lengths 11.937, 11.937, 10.982 Å; angles 117.15, 117.15, 58.15 degrees
Fractional coordinates of all 22 atoms:
Pu 0.033 0.967 0.750
Pu 0.967 0.033 0.250
Al 0.146 0.664 0.943
Al 0.336 0.854 0.557
Al 0.664 0.146 0.443
Al 0.854 0.336 0.057
I 0.082 0.248 0.007
I 0.098 0.643 0.680
I 0.120 0.792 0.420
I 0.208 0.880 0.080
I 0.248 0.082 0.507
I 0.330 0.452 0.016
I 0.357 0.902 0.820
I 0.452 0.330 0.516
I 0.548 0.670 0.484
I 0.643 0.098 0.180
I 0.670 0.548 0.984
I 0.752 0.918 0.493
I 0.792 0.120 0.920
I 0.880 0.208 0.580
I 0.902 0.357 0.320
I 0.918 0.752 0.993


PuAl2I8 | PBE-GGA | optimized geometry

Results
Fermi-level density of states   17.896 states/eV/f.u.
Space group   No. 12

Cell lengths 9.032, 9.032, 7.202 Å; angles 95.62, 95.62, 77.98 degrees
Fractional coordinates of all 11 atoms:
Pu 0.000 0.000 0.000
Al 0.201 0.201 0.654
Al 0.799 0.799 0.346
I 0.075 0.708 0.245
I 0.196 0.196 0.292
I 0.292 0.925 0.755
I 0.374 0.374 0.796
I 0.626 0.626 0.204
I 0.708 0.075 0.245
I 0.804 0.804 0.708
I 0.925 0.292 0.755


RbAl2I | PBE-GGA | optimized geometry

Results
Fermi-level density of states   1.476 states/eV/f.u.
Space group   No. 122

Cell lengths 12.552, 12.552, 12.552 Å; angles 157.02, 157.02, 32.72 degrees
Fractional coordinates of all 8 atoms:
Rb 0.000 0.000 0.000
Rb 0.750 0.250 0.500
Al 0.278 0.625 0.153
Al 0.375 0.528 0.653
Al 0.472 0.125 0.847
Al 0.875 0.722 0.347
I 0.250 0.750 0.500
I 0.500 0.500 0.000


Rb2AlI | PBE-GGA | optimized geometry

Results
Fermi-level density of states   0.582 states/eV/f.u.
Space group   No. 122

Cell lengths 8.174, 8.174, 8.174 Å; angles 104.55, 104.55, 119.85 degrees
Fractional coordinates of all 8 atoms:
Rb 0.109 0.625 0.984
Rb 0.375 0.359 0.484
Rb 0.641 0.125 0.016
Rb 0.875 0.891 0.516
Al 0.250 0.750 0.500
Al 0.500 0.500 0.000
I 0.000 0.000 0.000
I 0.750 0.250 0.500


One value per record, in order, for energy relative to the elements, uncorrected: 341.0; -412.2; -767.5; -754.0; -1.3; -157.7 meV/atom.
One value per record, in order, for energy: -3.1824; -6.9538; -3.8782; -3.8647; -2.5020; -1.9646 eV per atom.
One value per record, in order, for density: 6.29; 7.41; 3.85; 3.83; 2.94; 2.63 g cm⁻³.